PBE+U MoIN2F, optimized geometry; total DFT energy (no corrections) = -0.1773 hartree per atom; total moment = 0.00 μB per formula unit; theoretical density = 5.224 Mg/m³; E above lowest polymorph = 0.38 eV per formula unit; Fermi-level density of states = 5.2 states/eV/f.u.; crystal system = tetragonal
1.0
3.887 0.000 0.000
0.000 3.887 0.000
0.000 0.000 5.678
Mo I N F
1 1 2 1
Direct
0.000 0.000 0.000 Mo
0.000 0.000 0.500 I
0.000 0.500 0.000 N
0.500 0.000 0.000 N
0.500 0.500 0.500 F